Entry from Alexandria via LeMat-Bulk: a geometry-optimized ZrCu2Ni structure (GGA-PBEsol).

Cell lengths 3.7513, 3.7513, 4.6735 Å; angles 113.66, 113.66, 90.00 degrees
Positions (direct):
1 Cu 0.2500 0.7500 0.5000
2 Cu 0.7500 0.2500 0.5000
3 Zr 0.5000 0.5000 0.0000
4 Ni 0.0000 0.0000 0.0000

Calculated values
* V: 13.5 Å³ per atom
* total magnetization: 0.00 μB per cell
* DFT formation energy: -186 meV per atom